[1]
The following is a PBE-GGA calculation of CePuMnCo after structural relaxation, from the Alexandria database.

The structure in POSCAR format:
```
CePuMnCo
1.0
0.000 3.230 3.230
3.230 0.000 3.230
3.230 3.230 0.000
Ce Pu Mn Co
1 1 1 1
direct
0.000 0.000 0.000
0.750 0.750 0.750
0.250 0.250 0.250
0.500 0.500 0.500
```

ΔE_f: 0.14 eV per atom
Magnetic moment: 7.92 μB per formula unit
Symmetry: F-43m
DOS(E_F): 2.52 states/eV/atom
Calculated total energy: -0.6608 Ry/atom


[2]
The following is a PBE-GGA calculation of LiDy2P3Ir12 after structural relaxation, from the Alexandria database.

The structure in POSCAR format:
```
LiDy2P3Ir12
1.0
4.438 2.562 4.299
-4.438 2.562 4.299
0.000 -5.124 4.299
Li Dy P Ir
1 2 3 12
direct
0.000 0.000 0.000
0.373 0.373 0.373
0.627 0.627 0.627
0.000 0.000 0.500
0.000 0.500 0.000
0.500 0.000 0.000
0.103 0.627 0.627
0.173 0.173 0.676
0.173 0.676 0.173
0.324 0.827 0.827
0.373 0.373 0.897
0.373 0.897 0.373
0.627 0.103 0.627
0.627 0.627 0.103
0.676 0.173 0.173
0.827 0.324 0.827
0.827 0.827 0.324
0.897 0.373 0.373
```

ΔE_f: -0.13 eV per atom
Magnetic moment: 0.00 μB per formula unit
Symmetry: R-3m
DOS(E_F): 0.51 states/eV/atom
Calculated total energy: -0.5551 Ry/atom